CoP2Cl after structural relaxation, computed with PBE-GGA.

CIF file:
```
data_CoP2Cl
_chemical_formula_sum 'Co1 P2 Cl1'
_symmetry_space_group_name_H-M 'P 4/m m m'
_symmetry_Int_Tables_number 123
_symmetry_space_group_name_Hall '-P 4 2'
_cell_length_a 4.5589
_cell_length_b 4.5589
_cell_length_c 2.6966
_cell_angle_alpha 90.00
_cell_angle_beta 90.00
_cell_angle_gamma 90.00
loop_
_atom_site_label
_atom_site_type_symbol
_atom_site_fract_x
_atom_site_fract_y
_atom_site_fract_z
Co1 Co 0.0000 0.0000 0.0000
P1 P 0.0000 0.5000 0.5000
Cl1 Cl 0.5000 0.5000 0.0000
```

Results
- Total magnetic moment: 0.00 μB/atom
- Energy above the most stable polymorph in this dataset: 989 meV/atom
- ΔE_f (raw): 0.80 eV per atom

***

CoP2Cl after structural relaxation, computed with PBE-GGA.

CIF file:
```
data_CoP2Cl
_chemical_formula_sum 'Co3 P6 Cl3'
_symmetry_space_group_name_H-M 'R -3 m'
_symmetry_Int_Tables_number 166
_symmetry_space_group_name_Hall '-R 3 2"'
_cell_length_a 3.5501
_cell_length_b 3.5501
_cell_length_c 18.3553
_cell_angle_alpha 90.00
_cell_angle_beta 90.00
_cell_angle_gamma 120.00
loop_
_atom_site_label
_atom_site_type_symbol
_atom_site_fract_x
_atom_site_fract_y
_atom_site_fract_z
Co1 Co 0.0000 0.0000 0.0000
P1 P 0.0000 0.0000 0.2856
Cl1 Cl 0.0000 0.0000 0.5000
```

Results
- Total magnetic moment: 0.00 μB/atom
- Energy above the most stable polymorph in this dataset: 169 meV/atom
- ΔE_f (raw): -0.02 eV per atom

***

CoPCl after structural relaxation, computed with PBE-GGA.

CIF file:
```
data_CoPCl
_chemical_formula_sum 'Co4 P4 Cl4'
_symmetry_space_group_name_H-M 'F m m 2'
_symmetry_Int_Tables_number 42
_symmetry_space_group_name_Hall 'F 2 -2'
_cell_length_a 3.4908
_cell_length_b 5.1318
_cell_length_c 11.7243
_cell_angle_alpha 90.00
_cell_angle_beta 90.00
_cell_angle_gamma 90.00
loop_
_atom_site_label
_atom_site_type_symbol
_atom_site_fract_x
_atom_site_fract_y
_atom_site_fract_z
Co1 Co 0.0000 0.0000 0.0000
P1 P 0.0000 0.0000 0.6055
Cl1 Cl 0.0000 0.0000 0.3617
```

Results
- Total magnetic moment: 0.24 μB/atom
- Energy above the most stable polymorph in this dataset: 313 meV/atom
- ΔE_f (raw): 0.10 eV per atom

***

CoPCl2 after structural relaxation, computed with PBE-GGA.

CIF file:
```
data_CoPCl2
_chemical_formula_sum 'Co4 P4 Cl8'
_symmetry_space_group_name_H-M 'F m -3 m'
_symmetry_Int_Tables_number 225
_symmetry_space_group_name_Hall '-F 4 2 3'
_cell_length_a 6.4005
_cell_length_b 6.4005
_cell_length_c 6.4005
_cell_angle_alpha 90.00
_cell_angle_beta 90.00
_cell_angle_gamma 90.00
loop_
_atom_site_label
_atom_site_type_symbol
_atom_site_fract_x
_atom_site_fract_y
_atom_site_fract_z
Co1 Co 0.0000 0.0000 0.0000
P1 P 0.0000 0.0000 0.5000
Cl1 Cl 0.2500 0.2500 0.2500
```

Results
- Total magnetic moment: 0.34 μB/atom
- Energy above the most stable polymorph in this dataset: 1416 meV/atom
- ΔE_f (raw): 0.83 eV per atom

***

Repeat the second record exactly.
CoP2Cl after structural relaxation, computed with PBE-GGA.

CIF file:
```
data_CoP2Cl
_chemical_formula_sum 'Co3 P6 Cl3'
_symmetry_space_group_name_H-M 'R -3 m'
_symmetry_Int_Tables_number 166
_symmetry_space_group_name_Hall '-R 3 2"'
_cell_length_a 3.5501
_cell_length_b 3.5501
_cell_length_c 18.3553
_cell_angle_alpha 90.00
_cell_angle_beta 90.00
_cell_angle_gamma 120.00
loop_
_atom_site_label
_atom_site_type_symbol
_atom_site_fract_x
_atom_site_fract_y
_atom_site_fract_z
Co1 Co 0.0000 0.0000 0.0000
P1 P 0.0000 0.0000 0.2856
Cl1 Cl 0.0000 0.0000 0.5000
```

Results
- Total magnetic moment: 0.00 μB/atom
- Energy above the most stable polymorph in this dataset: 169 meV/atom
- ΔE_f (raw): -0.02 eV per atom

***

Please write out number 3 again, unchanged.
CoPCl after structural relaxation, computed with PBE-GGA.

CIF file:
```
data_CoPCl
_chemical_formula_sum 'Co4 P4 Cl4'
_symmetry_space_group_name_H-M 'F m m 2'
_symmetry_Int_Tables_number 42
_symmetry_space_group_name_Hall 'F 2 -2'
_cell_length_a 3.4908
_cell_length_b 5.1318
_cell_length_c 11.7243
_cell_angle_alpha 90.00
_cell_angle_beta 90.00
_cell_angle_gamma 90.00
loop_
_atom_site_label
_atom_site_type_symbol
_atom_site_fract_x
_atom_site_fract_y
_atom_site_fract_z
Co1 Co 0.0000 0.0000 0.0000
P1 P 0.0000 0.0000 0.6055
Cl1 Cl 0.0000 0.0000 0.3617
```

Results
- Total magnetic moment: 0.24 μB/atom
- Energy above the most stable polymorph in this dataset: 313 meV/atom
- ΔE_f (raw): 0.10 eV per atom